18
Lattice="3.680 2.125 5.831 -3.680 2.125 5.831 0.000 -4.249 5.831" Properties=species:S:1:pos:R:3 comment="Rb2MnW3O12 GGA+U optimized geometry" rho_g_cm3=5.9 dft_energy_ev_per_atom=-6.9773 pbc="T T T"
Rb 0.000 0.000 2.329
Rb 0.000 0.000 15.165
Mn 0.000 0.000 8.747
W -1.840 -1.062 5.831
W -1.840 1.062 11.663
W 0.000 2.125 5.831
O 0.000 -1.589 5.398
O -1.376 0.794 5.398
O -1.353 -0.781 7.646
O 0.000 -1.563 9.848
O -1.354 0.781 9.848
O -1.376 -0.794 12.096
O 1.376 0.794 5.398
O 1.353 -0.781 7.646
O 0.000 1.563 7.646
O 1.353 0.781 9.848
O 1.376 -0.794 12.096
O 0.000 1.589 12.096